Sb2IrPt (PBE-GGA, optimized geometry); SG = Fm-3m, No. 225; VASP energy = -5.673 eV/atom; calculated volume = 19.2 A^3/atom; offset from the most stable computed form = 241.8 meV per atom; E_form (uncorrected) = 0.113 eV/atom
1.0
0.000 3.376 3.376
3.376 0.000 3.376
3.376 3.376 0.000
Sb Ir Pt
2 1 1
direct
0.250 0.250 0.250
0.750 0.750 0.750
0.000 0.000 0.000
0.500 0.500 0.500